Density functional theory data (PBE) for a relaxed Nb2CuPt crystal.

Values from the calculation:
N(E_F): 3.832 states/eV/cell
calculated volume: 63.80 Å³ per cell
crystal system: tetragonal
symmetry: P4/mmm
DFT total energy: -7.87 eV/atom
mass density: 11.57 g/cm3
ΔH_f (0 K): -0.30 eV/atom

a b c (Å): 3.9586 3.9586 4.0713
angles (deg): 90.00 90.00 90.00
With the nearest neighbours (Å) after each atom.
Positions (direct):
Nb  0.0000  0.5000  0.0000  4 Nb 2.80, 4 Cu 2.84, 4 Pt 2.84
Nb  0.5000  0.0000  0.0000  4 Nb 2.80, 4 Cu 2.84, 4 Pt 2.84
Cu  0.0000  0.0000  0.5000  4 Pt 2.80, 8 Nb 2.84
Pt  0.5000  0.5000  0.5000  4 Cu 2.80, 8 Nb 2.84

Density functional theory data (PBE) for a relaxed PmMgSn6 crystal.

Values from the calculation:
N(E_F): 5.171 states/eV/cell
calculated volume: 209.88 Å³ per cell
crystal system: tetragonal
symmetry: P4/mmm
DFT total energy: -4.06 eV/atom
mass density: 6.97 g/cm3
ΔH_f (0 K): -0.27 eV/atom

a b c (Å): 6.7959 6.7959 4.5445
angles (deg): 90.00 90.00 90.00
With the nearest neighbours (Å) after each atom.
Positions (direct):
Pm  0.0000  0.0000  0.0000  12 Sn 3.40-3.41
Mg  0.5000  0.5000  0.0000  12 Sn 3.21-3.40
Sn  0.0000  0.5000  0.0000  8 Sn 3.31, 2 Mg 3.40, 2 Pm 3.40
Sn  0.2646  0.2646  0.5000  6 Sn 3.20-3.31, 2 Mg 3.21, 2 Pm 3.41
Sn  0.2646  0.7354  0.5000  6 Sn 3.20-3.31, 2 Mg 3.21, 2 Pm 3.41
Sn  0.5000  0.0000  0.0000  8 Sn 3.31, 2 Mg 3.40, 2 Pm 3.40
Sn  0.7354  0.2646  0.5000  6 Sn 3.20-3.31, 2 Mg 3.21, 2 Pm 3.41
Sn  0.7354  0.7354  0.5000  6 Sn 3.20-3.31, 2 Mg 3.21, 2 Pm 3.41

Density functional theory data (PBE) for a relaxed LiZrIn crystal.

Values from the calculation:
N(E_F): 2.630 states/eV/cell
calculated volume: 60.36 Å³ per cell
crystal system: tetragonal
symmetry: I4mm
DFT total energy: -4.49 eV/atom
mass density: 5.86 g/cm3
ΔH_f (0 K): -0.09 eV/atom

a b c (Å): 6.3412 6.3412 6.3412
angles (deg): 150.85 150.85 41.70
With the nearest neighbours (Å) after each atom.
Positions (direct):
Li  0.0000  0.0000  0.0000  4 In 2.80, 4 Zr 3.11
Zr  0.3190  0.3190  0.0000  4 In 3.10, 4 Li 3.11, 4 Zr 3.19
In  0.6393  0.6393  0.0000  4 Li 2.80, 4 Zr 3.10

Which of these has the lowest calculated volume?
LiZrIn

Among the records above, which one has the lowest N(E_F)?
LiZrIn

DFT total energy of number 1 (Nb2CuPt)?
-7.87 eV/atom